1:
Density functional theory data (GGA-PBE) for RbTeI2O after structural relaxation.

Unit cell a=6.562 b=6.562 c=4.199 alpha=90.00 beta=90.00 gamma=90.00
Fractional positions:
I 0.500 0.000 0.000
I 0.000 0.500 0.000
Te 0.500 0.500 0.500
Rb 0.000 0.000 0.000
O 0.000 0.000 0.500

As for the space group: P4/mmm. The density of states at the Fermi level is 6.09 states/eV/f.u. The crystal system is tetragonal.


2:
Density functional theory data (GGA-PBE) for RbTeI2O after structural relaxation.

Unit cell a=6.989 b=6.989 c=7.494 alpha=90.00 beta=90.00 gamma=90.00
Fractional positions:
I 0.500 0.000 0.000
I 0.000 0.500 0.000
Rb 0.000 0.000 0.000
Te 0.000 0.000 0.500
O 0.500 0.500 0.500

As for the space group: P4/mmm. The density of states at the Fermi level is 13.26 states/eV/f.u. The crystal system is tetragonal.


3:
Density functional theory data (GGA-PBE) for RbTeI2O after structural relaxation.

Unit cell a=5.581 b=5.581 c=4.682 alpha=90.00 beta=90.00 gamma=90.00
Fractional positions:
Rb 0.500 0.500 0.500
I 0.500 0.000 0.000
I 0.000 0.500 0.000
Te 0.000 0.000 0.500
O 0.000 0.000 0.000

As for the space group: P4/mmm. The density of states at the Fermi level is 2.31 states/eV/f.u. The crystal system is tetragonal.


4:
Density functional theory data (GGA-PBE) for RbTeI2O after structural relaxation.

Unit cell a=6.427 b=6.427 c=4.163 alpha=90.00 beta=90.00 gamma=90.00
Fractional positions:
I 0.000 0.500 0.000
I 0.500 0.000 0.000
Te 0.000 0.000 0.000
Rb 0.500 0.500 0.500
O 0.000 0.000 0.500

As for the space group: P4/mmm. The density of states at the Fermi level is 0.62 states/eV/f.u. The crystal system is tetragonal.


Last place for stability: 2


1:
Density functional theory data (GGA-PBE) for RbTiI2O after structural relaxation.

Unit cell a=6.419 b=6.419 c=4.258 alpha=90.00 beta=90.00 gamma=90.00
Fractional positions:
Ti 0.500 0.500 0.500
I 0.000 0.500 0.000
I 0.500 0.000 0.000
O 0.000 0.000 0.500
Rb 0.000 0.000 0.000

As for the space group: P4/mmm. The density of states at the Fermi level is 7.87 states/eV/f.u. The crystal system is tetragonal.


2:
Density functional theory data (GGA-PBE) for RbTiI2O after structural relaxation.

Unit cell a=6.085 b=6.085 c=3.852 alpha=90.00 beta=90.00 gamma=90.00
Fractional positions:
Ti 0.000 0.000 0.000
I 0.500 0.000 0.000
I 0.000 0.500 0.000
Rb 0.500 0.500 0.500
O 0.000 0.000 0.500

As for the space group: P4/mmm. The density of states at the Fermi level is 0.28 states/eV/f.u. The crystal system is tetragonal.


Last place for stability: 1